Entry 1:
## TlReTe2 (GGA-PBE)

Data for a relaxed TlReTe2 crystal.

formation energy without anion corrections	0.25	eV/atom
total magnetization	0.000	μB/atom
N(E_F)	2.53	states/eV/f.u.
space group	R-3m, No. 166
ρ	9.8	Mg/m³
energy relative to the lowest polymorph listed for this composition	0.009	eV per atom

Cell: 10.870 10.870 10.870 Å, 18.22 18.22 18.22°
Sites, in units of the cell vectors:
Tl1 0.000 0.000 0.000
Te1 0.108 0.108 0.108
Te2 0.892 0.892 0.892
Re1 0.500 0.500 0.500

---

Entry 2:
## TlReTe4 (GGA-PBE)

Data for a relaxed TlReTe4 crystal.

formation energy without anion corrections	1.11	eV/atom
total magnetization	0.935	μB/atom
N(E_F)	2.33	states/eV/f.u.
space group	F-43m, No. 216
ρ	7.9	Mg/m³

Cell: 6.440 6.440 6.440 Å, 60.00 60.00 60.00°
Sites, in units of the cell vectors:
Te1 0.374 0.877 0.374
Te2 0.374 0.374 0.374
Te3 0.877 0.374 0.374
Te4 0.374 0.374 0.877
Tl1 0.750 0.750 0.750
Re1 0.000 0.000 0.000

---

Entry 3:
## TlReTe2 (GGA-PBE)

Data for a relaxed TlReTe2 crystal.

formation energy without anion corrections	0.39	eV/atom
total magnetization	0.000	μB/atom
N(E_F)	3.73	states/eV/f.u.
space group	I-42d, No. 122
ρ	8.3	Mg/m³
energy relative to the lowest polymorph listed for this composition	0.149	eV per atom

Cell: 8.043 8.043 6.964 Å, 54.72 54.72 90.00°
Sites, in units of the cell vectors:
Te1 0.375 0.469 0.750
Te2 0.219 0.625 0.250
Te3 0.875 0.781 0.750
Te4 0.531 0.125 0.250
Re1 0.250 0.750 0.500
Re2 0.500 0.500 0.000
Tl1 0.750 0.250 0.500
Tl2 0.000 0.000 0.000